First-principles (PBE+U) data for BeVCoO after structural relaxation, as listed in the Alexandria database.

Lattice parameters (Å, degrees): 3.0108 2.9686 9.4901 90.00 90.00 90.00
Closest atoms and distances in Å follow each position.
Fractional coordinates of all 8 atoms:
Be  0.0000  0.5000  0.7716  1 O 1.64
O  0.0000  0.5000  0.5984  1 Be 1.64
V  0.0000  0.5000  0.0631  4 O 2.14
Be  0.5000  0.0000  0.2716  1 O 1.64
Co  0.5000  0.0000  0.8663  1 O 2.20, 4 Be 2.30
Co  0.0000  0.5000  0.3663  1 O 2.20, 4 Be 2.30
O  0.5000  0.0000  0.0984  1 Be 1.64
V  0.5000  0.0000  0.5631  4 O 2.14

## Properties
V = 85 Å³ per cell
Excess energy over the best structure of this formula in the dataset = 0.00 kJ per mole of atoms
Size of the total moment = 0.983 μB per atom